Entry 1:
The following is a PBE calculation of an optimized crystal structure of CdSiAsO, from OQMD via LeMat-Bulk.

a b c (Å): 3.799 3.799 9.492
angles (deg): 90.00 90.00 90.00
Positions (direct):
Cd 0.250 0.750 0.000
Cd 0.750 0.250 0.000
Si 0.250 0.250 0.407
Si 0.750 0.750 0.593
As 0.250 0.250 0.789
As 0.750 0.750 0.211
O 0.250 0.750 0.500
O 0.750 0.250 0.500

Space-group type = P4/nmm (129)
VASP energy = -33.52 eV for the cell shown

Entry 2:
The following is a PBE calculation of an optimized crystal structure of CdSiAsO, from OQMD via LeMat-Bulk.

a b c (Å): 3.681 6.368 6.187
angles (deg): 90.00 90.00 90.00
Positions (direct):
Cd 0.000 0.160 0.000
Cd 0.000 0.840 0.500
Si 0.500 0.274 0.418
Si 0.500 0.726 0.918
As 0.500 0.371 0.792
As 0.500 0.629 0.292
O 0.000 0.186 0.374
O 0.000 0.814 0.874

Space-group type = Pmc2_1 (26)
VASP energy = -35.26 eV for the cell shown

Entry 3:
The following is a PBE calculation of an optimized crystal structure of SmCdAsO, from OQMD via LeMat-Bulk.

a b c (Å): 4.096 6.286 6.928
angles (deg): 90.00 90.00 90.00
Positions (direct):
Sm 0.000 0.044 0.000
Sm 0.000 0.956 0.500
Cd 0.500 0.394 0.368
Cd 0.500 0.606 0.868
As 0.500 0.218 0.729
As 0.500 0.782 0.229
O 0.000 0.230 0.278
O 0.000 0.770 0.778

Space-group type = Pmc2_1 (26)
VASP energy = -41.73 eV for the cell shown

Entry 4:
The following is a PBE calculation of an optimized crystal structure of SmCdAsO, from OQMD via LeMat-Bulk.

a b c (Å): 4.580 6.292 6.195
angles (deg): 90.00 90.00 90.00
Positions (direct):
Sm 0.000 0.240 0.000
Sm 0.000 0.760 0.500
Cd 0.500 0.358 0.619
Cd 0.500 0.642 0.119
As 0.000 0.230 0.481
As 0.000 0.770 0.981
O 0.500 0.297 0.988
O 0.500 0.703 0.488

Space-group type = Pmc2_1 (26)
VASP energy = -42.09 eV for the cell shown